# TbInPO | the Open Quantum Materials Database | PBE | optimized geometry
# relative energy among the computed polymorphs: 4.01 kcal/mol of atoms
data_TbInPO
_chemical_formula_sum 'Tb2 In2 P2 O2'
_symmetry_space_group_name_H-M 'P 4/n m m'
_symmetry_Int_Tables_number 129
_cell_length_a 5.630
_cell_length_b 5.630
_cell_length_c 4.961
_cell_angle_alpha 90.00
_cell_angle_beta 90.00
_cell_angle_gamma 90.00
loop_
_symmetry_equiv_pos_as_xyz
'x,y,z'
'-x,-y,-z'
'-y+1/2,x,z'
'y+1/2,-x,-z'
'-x+1/2,-y+1/2,z'
'x+1/2,y+1/2,-z'
'y,-x+1/2,z'
'-y,x+1/2,-z'
'x+1/2,-y,-z'
'-x+1/2,y,z'
'-y,-x,-z'
'y,x,z'
'-x,y+1/2,-z'
'x,-y+1/2,z'
'y+1/2,x+1/2,-z'
'-y+1/2,-x+1/2,z'
loop_
_atom_site_label
_atom_site_type_symbol
_atom_site_fract_x
_atom_site_fract_y
_atom_site_fract_z
Tb1 Tb 0.250 0.750 0.000
In1 In 0.250 0.250 0.498
P1 P 0.250 0.250 0.997
O1 O 0.250 0.750 0.500